Crystalline TaNiSbO6 at its relaxed geometry, computed with GGA+U.

```
TaNiSbO6
1.0
5.238 0.000 0.000
-2.619 4.537 0.000
0.000 0.000 9.012
Ni O Ta Sb
2 12 2 2
Direct
0.000 0.000 0.000 Ni
0.000 0.000 0.500 Ni
0.650 0.651 0.631 O
0.651 0.650 0.131 O
0.999 0.650 0.369 O
0.350 0.001 0.131 O
0.349 0.350 0.869 O
0.001 0.651 0.869 O
0.349 0.999 0.631 O
0.001 0.350 0.631 O
0.651 0.001 0.369 O
0.350 0.349 0.369 O
0.650 0.999 0.869 O
0.999 0.349 0.131 O
0.333 0.667 0.750 Ta
0.667 0.333 0.250 Ta
0.333 0.667 0.250 Sb
0.667 0.333 0.750 Sb
```

Computed properties:
E, eV/f.u.: -64.48
Total moment, μB per atom: 0.227
Symmetry: P-31c (163)
Crystal system: trigonal